This record from Alexandria via LeMat-Bulk describes a geometry-optimized P3N structure. The functional is GGA-PBE.

Lattice parameters (Å, degrees): 5.796 3.940 6.060 90.00 118.34 90.00
Space group C2 (No. 5)
Inequivalent atoms, fractional coordinates:
P1 0.000 0.000 0.000 (multiplicity 2)
P2 0.207 0.893 0.743 (multiplicity 4)
N1 0.000 0.662 0.500 (multiplicity 2)

## Properties
**Polymorph energy (0 for the lowest one)**: 0.028 eV/atom
**Volume**: 15.2 Å³/atom
**E_tot**: -5.906 eV per atom
**E_form (uncorrected)**: 0.9 eV/f.u.